BMoF3 PBE with a Hubbard U optimized geometry; DOS at the Fermi energy = 0.47 states/eV per atom; calculated volume = 12.05 A^3/atom; relative energy among the computed polymorphs = 306 meV/atom; M_tot = 4.78 μB per formula unit
1.0
3.920 0.000 0.000
0.000 3.920 0.000
0.000 0.000 3.920
B Mo F
1 1 3
direct
0.000 0.000 0.000
0.500 0.500 0.500
0.000 0.000 0.500
0.000 0.500 0.000
0.500 0.000 0.000